P) First-principles (GGA-PBE) data for a relaxed PrNd4N4 crystal, as listed in Alexandria via LeMat-Bulk.

The structure belongs to space group I-42m (No. 121); the cell edges are 6.002, 6.002 and 11.167 Å and the angles 90.00°, 90.00° and 90.00°. The distinct sites, in fractional coordinates, are Pr at (0.000, 0.000, 0.000), Nd at (0.000, 0.000, 0.287), Nd at (0.000, 0.500, 0.000) and N at (0.242, 0.242, 0.118).

The calculation puts the density at 6.4 g/cm3.

Q) First-principles (GGA-PBE) data for a relaxed PrNd4N4 crystal, as listed in Alexandria via LeMat-Bulk.

The structure belongs to space group P-1 (No. 2); the cell edges are 5.172, 6.368 and 6.368 Å and the angles 80.54°, 66.10° and 66.09°. The distinct sites, in fractional coordinates, are Pr at (0.000, 0.000, 0.000), Nd at (0.186, 0.424, 0.204), Nd at (0.390, 0.796, 0.425), N at (0.097, 0.203, 0.604) and N at (0.300, 0.604, 0.797).

The calculation puts the density at 7.3 g/cm3.

The relative energies come out as P) 0.571; Q) 0.000, with values in eV/atom.